[1]
DFT (GGA-PBE) results for a relaxed Ge2SbHRh crystal.

E_tot (hartree per atom): -0.1487
Magnetization (μB per atom): 0.000

```
Ge2SbHRh
1.0
5.241 0.000 0.000
0.000 5.241 0.000
0.000 0.000 3.398
Ge Sb H Rh
2 1 1 1
Cartesian
0.000 2.621 0.000
2.621 0.000 0.000
0.000 0.000 0.000
0.000 0.000 1.699
2.621 2.621 1.699
```

=====

[2]
DFT (GGA-PBE) results for a relaxed Pr6Hg2Au crystal.

DFT formation energy (eV per atom): -0.2892
Magnetization (μB per atom): 0.000
Polymorph energy (0 for the lowest one) (meV per atom): 81

```
Pr6Hg2Au
1.0
6.491 0.000 0.000
0.000 8.372 0.000
-6.389 0.000 10.658
Pr Hg Au
12 4 2
Cartesian
-0.927 0.422 2.516
-4.122 3.764 7.845
0.822 5.942 0.624
-2.372 6.616 5.953
2.289 1.282 0.520
-0.905 2.904 5.849
1.007 5.468 4.809
-2.188 7.090 10.138
2.474 1.756 4.705
-0.721 2.430 10.034
4.223 4.608 2.813
1.028 7.950 8.142
-2.562 0.928 7.799
0.633 3.258 2.470
-0.531 5.114 8.188
2.663 7.444 2.859
0.051 0.000 5.329
3.245 4.186 0.000
```

=====

[3]
DFT (GGA-PBE) results for a relaxed CoRuCl2 crystal.

Magnetization (μB per atom): 0.745
Polymorph energy (0 for the lowest one) (meV per atom): 1

```
CoRuCl2
1.0
3.347 0.000 0.000
-1.673 2.898 0.000
0.000 0.000 24.796
Co Ru Cl
3 3 6
Cartesian
0.000 0.000 0.000
0.000 1.932 16.531
1.673 0.966 8.265
0.000 0.000 6.888
0.000 1.932 23.419
1.673 0.966 15.153
0.000 0.000 13.466
0.000 0.000 17.984
0.000 1.932 5.200
0.000 1.932 9.718
1.673 0.966 1.453
1.673 0.966 21.731
```

=====

[4]
DFT (GGA-PBE) results for a relaxed Ca2TaCu crystal.

DFT formation energy (eV per atom): 0.6722
Magnetization (μB per atom): 0.254
Polymorph energy (0 for the lowest one) (meV per atom): 338

```
Ca2TaCu
1.0
6.553 0.000 0.000
0.000 9.309 0.000
0.000 0.000 3.075
Ca Ta Cu
4 2 2
Cartesian
1.638 2.327 0.000
1.638 6.982 0.000
4.915 2.327 0.000
4.915 6.982 0.000
0.000 0.000 1.538
3.277 4.655 1.538
0.000 4.655 1.538
3.277 0.000 1.538
```

=====

[5]
DFT (GGA-PBE) results for a relaxed Sm2ThHg crystal.

DFT formation energy (eV per atom): 0.0458
Magnetization (μB per atom): 0.004
Polymorph energy (0 for the lowest one) (meV per atom): 290

```
Sm2ThHg
1.0
7.785 0.000 0.000
0.000 7.785 0.000
0.000 0.000 7.785
Sm Th Hg
8 4 4
Cartesian
1.946 1.946 1.946
1.946 1.946 5.839
1.946 5.839 1.946
1.946 5.839 5.839
5.839 1.946 1.946
5.839 1.946 5.839
5.839 5.839 1.946
5.839 5.839 5.839
0.000 0.000 0.000
0.000 3.892 3.892
3.892 0.000 3.892
3.892 3.892 0.000
0.000 0.000 3.892
0.000 3.892 0.000
3.892 0.000 0.000
3.892 3.892 3.892
```

=====

[6]
DFT (GGA-PBE) results for a relaxed YSiPt2 crystal.

E_tot (hartree per atom): -0.2555
Magnetization (μB per atom): 0.000

```
YSiPt2
1.0
3.722 0.000 0.000
0.000 4.496 0.000
0.000 0.000 4.827
Y Si Pt
1 1 2
Cartesian
0.000 0.000 0.000
1.861 2.248 1.621
1.861 0.000 2.408
1.861 2.248 4.108
```

=====

[7]
DFT (GGA-PBE) results for a relaxed YSi crystal.

E_tot (hartree per atom): -0.2438
Magnetization (μB per atom): 0.000

```
YSi
1.0
4.461 0.000 0.000
-2.231 3.864 0.000
0.000 0.000 5.648
Y Si
2 2
Cartesian
0.000 2.576 1.412
2.231 1.288 4.236
0.000 0.000 0.000
0.000 0.000 2.824
```

=====

[8]
DFT (GGA-PBE) results for a relaxed TaRhW crystal.

DFT formation energy (eV per atom): 0.5640
Magnetization (μB per atom): 0.000
Polymorph energy (0 for the lowest one) (meV per atom): 729

```
TaRhW
1.0
6.092 0.000 0.000
0.000 6.092 0.000
0.000 0.000 6.092
Ta Rh W
4 4 4
Cartesian
0.000 0.000 0.000
0.000 3.046 3.046
3.046 0.000 3.046
3.046 3.046 0.000
1.523 1.523 4.569
1.523 4.569 1.523
4.569 1.523 1.523
4.569 4.569 4.569
0.000 0.000 3.046
0.000 3.046 0.000
3.046 0.000 0.000
3.046 3.046 3.046
```